(1)
Here is a crystal of PtSe2Br relaxed with PBEsol from Alexandria via LeMat-Bulk. Energies are from meta-GGA SCAN.

Lattice parameters (Å, degrees): 2.8777 3.8919 7.6904 90.00 90.00 90.00
With the nearest neighbours (Å) after each atom.
Space group Pmmm (No. 47)
Symmetry-distinct sites (fractional):
Pt (0.0000, 0.0000, 0.0000) [1 per cell]  8 Se 2.73, 2 Pt 2.88
Se (0.5000, 0.5000, 0.1638) [2 per cell]  1 Se 2.52, 4 Pt 2.73
Br (0.0000, 0.0000, 0.5000) [1 per cell]  2 Br 2.88

polymorph energy (0 for the lowest one): 657 meV per atom

(2)
Here is a crystal of PtSe2Br relaxed with PBEsol from Alexandria via LeMat-Bulk. Energies are from meta-GGA SCAN.

Lattice parameters (Å, degrees): 4.9823 4.9823 2.9606 90.00 90.00 90.00
With the nearest neighbours (Å) after each atom.
Space group P4/mmm (No. 123)
Symmetry-distinct sites (fractional):
Pt (0.0000, 0.0000, 0.0000) [1 per cell]  8 Se 2.90, 2 Pt 2.96
Se (0.0000, 0.5000, 0.5000) [2 per cell]  4 Br 2.90, 4 Pt 2.90, 2 Se 2.96
Br (0.5000, 0.5000, 0.0000) [1 per cell]  8 Se 2.90, 2 Br 2.96

polymorph energy (0 for the lowest one): 1144 meV per atom

(3)
Here is a crystal of PtSe2Br relaxed with PBEsol from Alexandria via LeMat-Bulk. Energies are from meta-GGA SCAN.

Lattice parameters (Å, degrees): 4.6718 3.7312 5.3769 90.00 107.76 90.00
With the nearest neighbours (Å) after each atom.
Space group P2/m (No. 10)
Symmetry-distinct sites (fractional):
Pt (0.0000, 0.0000, 0.0000) [1 per cell]  4 Se 2.48, 2 Br 2.69
Se (0.3593, 0.5000, 0.1544) [2 per cell]  1 Se 2.41, 2 Pt 2.48
Br (0.0000, 0.0000, 0.5000) [1 per cell]  2 Pt 2.69

polymorph energy (0 for the lowest one): 0 meV per atom

(4)
Here is a crystal of PtSe2Br relaxed with PBEsol from Alexandria via LeMat-Bulk. Energies are from meta-GGA SCAN.

Lattice parameters (Å, degrees): 3.7630 3.7630 20.8718 90.00 90.00 120.00
With the nearest neighbours (Å) after each atom.
Space group R-3m (No. 166, hexagonal axes)
Symmetry-distinct sites (fractional):
Pt (0.0000, 0.0000, 0.0000) [3 per cell]  6 Se 2.51
Se (0.0000, 0.0000, 0.2732) [6 per cell]  3 Pt 2.51
Br (0.0000, 0.0000, 0.5000) [3 per cell]  6 Se 3.11

polymorph energy (0 for the lowest one): 40 meV per atom